[1]
# GeSb2IN

Crystalline GeSb2IN at its relaxed geometry (GGA-PBE, Alexandria via LeMat-Bulk).

Calculated values
Spin magnetization   0.0 μB per cell
Total energy   -18.6 eV per cell

a b c (Å): 4.8733 4.8733 4.7760
angles (deg): 90.00 90.00 90.00
Space group P4/mmm (No. 123)
Inequivalent atoms, fractional coordinates:
Ge 0.0000 0.0000 0.0000
Sb 0.0000 0.5000 0.5000
I 0.5000 0.5000 0.0000
N 0.5000 0.5000 0.5000

=====

[2]
# GeSeIN2

Crystalline GeSeIN2 at its relaxed geometry (GGA-PBE, Alexandria via LeMat-Bulk).

Calculated values
Spin magnetization   0.0 μB per cell
Total energy   -17.8 eV per cell

a b c (Å): 3.9876 3.9876 6.5615
angles (deg): 90.00 90.00 90.00
Space group P4/mmm (No. 123)
Inequivalent atoms, fractional coordinates:
Ge 0.0000 0.0000 0.0000
Se 0.5000 0.5000 0.0000
I 0.5000 0.5000 0.5000
N 0.0000 0.5000 0.5000

=====

[3]
# GeSeI2N

Crystalline GeSeI2N at its relaxed geometry (GGA-PBE, Alexandria via LeMat-Bulk).

Calculated values
Spin magnetization   0.0 μB per cell
Total energy   -15.0 eV per cell

a b c (Å): 6.0426 6.0426 3.7321
angles (deg): 90.00 90.00 90.00
Space group P4/mmm (No. 123)
Inequivalent atoms, fractional coordinates:
Ge 0.0000 0.0000 0.0000
Se 0.5000 0.5000 0.5000
I 0.0000 0.5000 0.5000
N 0.5000 0.5000 0.0000

=====

[4]
# GeSe2IN

Crystalline GeSe2IN at its relaxed geometry (GGA-PBE, Alexandria via LeMat-Bulk).

Calculated values
Spin magnetization   0.0 μB per cell
Total energy   -17.5 eV per cell

a b c (Å): 5.3696 5.3696 3.6244
angles (deg): 90.00 90.00 90.00
Space group P4/mmm (No. 123)
Inequivalent atoms, fractional coordinates:
Ge 0.0000 0.0000 0.0000
Se 0.0000 0.5000 0.0000
I 0.5000 0.5000 0.5000
N 0.0000 0.0000 0.5000

=====

[5]
# GeSeIN2

Crystalline GeSeIN2 at its relaxed geometry (GGA-PBE, Alexandria via LeMat-Bulk).

Calculated values
Spin magnetization   1.5 μB per cell
Total energy   -19.8 eV per cell

a b c (Å): 3.8976 3.8976 6.4094
angles (deg): 90.00 90.00 90.00
Space group P4/mmm (No. 123)
Inequivalent atoms, fractional coordinates:
Ge 0.0000 0.0000 0.0000
Se 0.0000 0.0000 0.5000
I 0.5000 0.5000 0.5000
N 0.0000 0.5000 0.0000

=====

[6]
# GeSe2IN

Crystalline GeSe2IN at its relaxed geometry (GGA-PBE, Alexandria via LeMat-Bulk).

Calculated values
Spin magnetization   0.0 μB per cell
Total energy   -15.5 eV per cell

a b c (Å): 5.5061 5.5061 3.9483
angles (deg): 90.00 90.00 90.00
Space group P4/mmm (No. 123)
Inequivalent atoms, fractional coordinates:
Ge 0.0000 0.0000 0.0000
Se 0.0000 0.5000 0.5000
I 0.5000 0.5000 0.5000
N 0.5000 0.5000 0.0000